(1)
! LiIn2Au | Alexandria | PBE | optimized geometry; values from VASP
&SYSTEM
  ibrav = 0, nat = 4, ntyp = 3
/
ATOMIC_SPECIES
Au 196.97 Au.upf
In 114.82 In.upf
Li 6.94 Li.upf
CELL_PARAMETERS angstrom
-1.478 2.355 -4.149
-2.060 -1.243 -4.377
-4.944 0.740 0.937
ATOMIC_POSITIONS crystal
Au 0.250 0.250 0.250
In 0.990 0.990 0.005
In 0.510 0.510 0.495
Li 0.750 0.750 0.750
! Magnetization   0.00 μB/cell
! V   21.1 Å³ per atom
! SG   C2/m (12)
! Theoretical density   8.55 g/cm3
! Formation energy   -0.2393 eV per atom



(2)
! Sc2AgP | Alexandria | PBE | optimized geometry; values from VASP
&SYSTEM
  ibrav = 0, nat = 4, ntyp = 3
/
ATOMIC_SPECIES
Sc 44.96 Sc.upf
P 30.97 P.upf
Ag 107.87 Ag.upf
CELL_PARAMETERS angstrom
1.819 0.000 9.885
-0.909 1.575 9.885
-0.909 -1.575 9.885
ATOMIC_POSITIONS crystal
Sc 0.914 0.914 0.914
Sc 0.086 0.086 0.086
P 0.000 0.000 0.000
Ag 0.500 0.500 0.500
! Energy above the most stable polymorph in this dataset   875.9 meV per atom
! Magnetization   0.00 μB/cell
! V   21.2 Å³ per atom
! SG   R-3m (166)
! Theoretical density   4.47 g/cm3
! Formation energy   0.1216 eV per atom



(3)
! CsSi2Sb2 | Alexandria | PBE | optimized geometry; values from VASP
&SYSTEM
  ibrav = 0, nat = 5, ntyp = 3
/
ATOMIC_SPECIES
Cs 132.91 Cs.upf
Sb 121.76 Sb.upf
Si 28.09 Si.upf
CELL_PARAMETERS angstrom
4.979 0.000 0.000
0.000 4.979 0.000
2.490 2.490 6.525
ATOMIC_POSITIONS crystal
Cs 0.000 0.000 0.000
Sb 0.750 0.250 0.500
Sb 0.250 0.750 0.500
Si 0.347 0.347 0.305
Si 0.653 0.653 0.695
! Energy above the most stable polymorph in this dataset   102.0 meV per atom
! Magnetization   0.00 μB/cell
! ΔE_f (raw)   0.143 eV/atom
! V   32.4 Å³ per atom
! SG   I4/mmm (139)
! Theoretical density   4.44 g/cm3



(4)
! Mg2HgIr | Alexandria | PBE | optimized geometry; values from VASP
&SYSTEM
  ibrav = 0, nat = 4, ntyp = 3
/
ATOMIC_SPECIES
Hg 200.59 Hg.upf
Ir 192.22 Ir.upf
Mg 24.30 Mg.upf
CELL_PARAMETERS angstrom
-2.971 0.884 -4.371
-0.376 -0.915 -5.266
-2.756 -3.567 -0.822
ATOMIC_POSITIONS crystal
Hg 0.511 0.511 0.526
Ir 0.253 0.253 0.205
Mg 0.980 0.980 0.053
Mg 0.756 0.756 0.716
! Energy above the most stable polymorph in this dataset   125.5 meV per atom
! Magnetization   0.00 μB/cell
! V   17.8 Å³ per atom
! SG   Cm (8)
! Theoretical density   10.28 g/cm3
! Formation energy   -0.1848 eV per atom